## TlBiPdSe3 (PBE)

Data for TlBiPdSe3 after structural relaxation.

```
TlBiPdSe3
1.0
-1.295 6.254 -5.580
-3.257 -1.926 -1.403
-5.106 2.003 9.105
Bi Se Tl Pd
2 6 2 2
Direct
0.300 0.250 0.355 Bi
0.700 0.750 0.645 Bi
0.962 0.250 0.668 Se
0.441 0.250 0.642 Se
0.790 0.750 0.977 Se
0.210 0.250 0.023 Se
0.559 0.750 0.358 Se
0.038 0.750 0.332 Se
0.731 0.250 0.207 Tl
0.269 0.750 0.793 Tl
0.099 0.750 0.111 Pd
0.901 0.250 0.889 Pd
```

## Properties
V in Å³/cell: 340.6
Symmetry: P2_1/m
E in eV/atom: -3.940



## SiBiPd (PBE)

Data for SiBiPd after structural relaxation.

```
SiBiPd
1.0
-3.104 -1.269 3.054
-4.284 1.439 -0.387
-3.274 -2.913 -1.170
Si Pd Bi
1 1 1
Direct
0.750 0.750 0.750 Si
0.000 0.000 0.000 Pd
0.250 0.250 0.250 Bi
```

## Properties
Distance to the lowest polymorph of the same formula in eV/atom: 0.000
V in Å³/cell: 66.0
Symmetry: F-43m



## SmBiPd (PBE)

Data for SmBiPd after structural relaxation.

```
SmBiPd
1.0
-0.461 2.414 4.131
-3.899 -0.641 2.737
0.362 -2.321 4.194
Bi Pd Sm
1 1 1
Direct
0.500 0.500 0.500 Bi
0.250 0.250 0.250 Pd
0.000 0.000 0.000 Sm
```

## Properties
V in Å³/cell: 78.5
Symmetry: F-43m
E in eV/atom: -5.608



## SmBiPd (PBE)

Data for SmBiPd after structural relaxation.

```
SmBiPd
1.0
7.676 0.000 0.000
-3.838 6.648 0.000
0.000 0.000 4.270
Bi Sm Pd
3 3 3
Direct
0.000 0.270 0.000 Bi
0.270 0.000 0.000 Bi
0.730 0.730 0.000 Bi
0.395 0.395 0.500 Sm
0.000 0.605 0.500 Sm
0.605 0.000 0.500 Sm
0.000 0.000 0.500 Pd
0.667 0.333 0.000 Pd
0.333 0.667 0.000 Pd
```

## Properties
V in Å³/cell: 217.9
Symmetry: P-62m
E in eV/atom: -5.447



## SmBiPd (PBE)

Data for SmBiPd after structural relaxation.

```
SmBiPd
1.0
0.000 3.532 3.532
3.532 0.000 3.532
3.532 3.532 0.000
Pd Sm Bi
1 1 1
Direct
0.750 0.750 0.750 Pd
0.000 0.000 0.000 Sm
0.250 0.250 0.250 Bi
```

## Properties
V in Å³/cell: 88.1
Symmetry: F-43m
E in eV/atom: -4.918



## Sn3Bi2Pd2 (PBE)

Data for Sn3Bi2Pd2 after structural relaxation.

```
Sn3Bi2Pd2
1.0
9.227 2.844 -2.129
8.871 3.453 2.673
9.805 -0.947 0.847
Sn Bi Pd
3 2 2
Direct
0.371 0.371 0.371 Sn
0.857 0.857 0.857 Sn
0.640 0.640 0.640 Sn
0.246 0.246 0.246 Bi
0.753 0.753 0.753 Bi
0.969 0.969 0.969 Pd
0.540 0.540 0.540 Pd
```

## Properties
V in Å³/cell: 193.5
Symmetry: R3m
E in eV/atom: -4.380